one.
The following is a DFT calculation (PBE-GGA) of an optimized crystal structure of V6Cr2Mo.

Fermi-level density of states = 10.81 states/eV/f.u.
Symmetry = P-1, No. 2
Crystal system = triclinic

Geometry as POSCAR:
```
V6Cr2Mo
1.0
2.5584 0.0000 0.0000
-1.2050 6.5756 0.0000
-0.1396 -1.5238 7.1885
V Cr Mo
6 2 1
Direct
0.0517 0.1685 0.1196
0.2917 0.4927 0.6589
0.3886 0.8448 0.2381
0.6114 0.1552 0.7619
0.7083 0.5073 0.3411
0.9483 0.8315 0.8804
0.1310 0.8335 0.5537
0.8690 0.1665 0.4463
0.5000 0.5000 0.0000
```

two.
The following is a DFT calculation (PBE-GGA) of an optimized crystal structure of V6Cr2Mo.

Fermi-level density of states = 10.83 states/eV/f.u.
Symmetry = R3, No. 146
Crystal system = trigonal

Geometry as POSCAR:
```
V6Cr2Mo
1.0
2.9308 1.6921 4.2824
-2.9308 1.6921 4.2824
0.0000 -3.3842 4.2824
V Cr Mo
6 2 1
Direct
0.0645 0.5313 0.4041
0.0901 0.4239 0.9371
0.4041 0.0645 0.5313
0.4239 0.9371 0.0901
0.5313 0.4041 0.0645
0.9371 0.0901 0.4239
0.5249 0.5249 0.5249
0.7373 0.7373 0.7373
0.9570 0.9570 0.9570
```

We find one to be the most stable, with the next structure 442 meV/atom higher.